First-principles (PBE-GGA) data for crystalline SrMn2CuS4 at its relaxed geometry, as listed in the Alexandria database.

Computed properties:
Magnetic moment ... 9.00 μB per formula unit
N(E_F) ... 2.42 states/eV/f.u.
Final energy ... -188.96 eV/cell

a = 3.7859 Å, b = 12.4744 Å, c = 12.8212 Å
α = 90.00°, β = 90.00°, γ = 90.00°
Space group Cmcm (No. 63)
Symmetry-distinct sites (fractional):
Sr 0.0000 0.1223 0.2500
Mn 0.0000 0.3706 0.0615
Cu 0.0000 0.1531 0.7500
S 0.0000 0.0000 0.0000
S 0.0000 0.2626 0.6051
S 0.0000 0.4447 0.2500


First-principles (PBE-GGA) data for crystalline CeMg2Tl2Cd2 at its relaxed geometry, as listed in the Alexandria database.

Computed properties:
Magnetic moment ... 0.87 μB per formula unit
N(E_F) ... 7.35 states/eV/f.u.
Final energy ... -49.39 eV/cell

a = 4.9068 Å, b = 4.9068 Å, c = 26.4646 Å
α = 90.00°, β = 90.00°, γ = 120.00°
Space group R-3m (No. 166, hexagonal axes)
Symmetry-distinct sites (fractional):
Ce 0.0000 0.0000 0.0000
Mg 0.0000 0.0000 0.1332
Tl 0.0000 0.0000 0.3919
Cd 0.0000 0.0000 0.2445


First-principles (PBE-GGA) data for crystalline CaSbI2O at its relaxed geometry, as listed in the Alexandria database.

Computed properties:
Magnetic moment ... 0.41 μB per formula unit
N(E_F) ... 7.12 states/eV/f.u.
Distance to the lowest polymorph of the same formula ... 0.145 eV per atom

a = 6.1309 Å, b = 6.1309 Å, c = 4.1093 Å
α = 90.00°, β = 90.00°, γ = 90.00°
Space group P4/mmm (No. 123)
Symmetry-distinct sites (fractional):
Ca 0.0000 0.0000 0.0000
Sb 0.5000 0.5000 0.5000
I 0.0000 0.5000 0.0000
O 0.0000 0.0000 0.5000


First-principles (PBE-GGA) data for crystalline MnHg5Pd6 at its relaxed geometry, as listed in the Alexandria database.

Computed properties:
Magnetic moment ... 4.51 μB per formula unit
N(E_F) ... 3.95 states/eV/f.u.
Final energy ... -87.72 eV/cell

a = 4.3046 Å, b = 7.5783 Å, c = 12.9328 Å
α = 90.00°, β = 90.00°, γ = 90.00°
Space group Immm (No. 71)
Symmetry-distinct sites (fractional):
Mn 0.0000 0.0000 0.0000
Hg 0.0000 0.0000 0.3335
Hg 0.0000 0.5000 0.0000
Hg 0.0000 0.5000 0.3356
Pd 0.0000 0.2437 0.1624
Pd 0.0000 0.2599 0.5000


First-principles (PBE-GGA) data for crystalline VGeB at its relaxed geometry, as listed in the Alexandria database.

Computed properties:
Magnetic moment ... 0.00 μB per formula unit
N(E_F) ... 1.33 states/eV/f.u.
Final energy ... -79.34 eV/cell

a = 5.6138 Å, b = 4.5538 Å, c = 5.5640 Å
α = 90.00°, β = 90.00°, γ = 90.00°
Space group Pca2_1 (No. 29)
Symmetry-distinct sites (fractional):
V 0.0894 0.1196 0.0000
Ge 0.2077 0.6455 0.1658
B 0.0649 0.3148 0.3748


First-principles (PBE-GGA) data for crystalline BeTe2Cl at its relaxed geometry, as listed in the Alexandria database.

Computed properties:
Magnetic moment ... 0.00 μB per formula unit
N(E_F) ... 0.83 states/eV/f.u.
Distance to the lowest polymorph of the same formula ... 0.286 eV per atom

a = 3.4692 Å, b = 7.6601 Å, c = 9.3655 Å
α = 90.00°, β = 90.00°, γ = 90.00°
Space group Cmm2 (No. 35)
Symmetry-distinct sites (fractional):
Be 0.0000 0.0000 0.0000
Te 0.0000 0.0000 0.4406
Te 0.0000 0.5000 0.2006
Cl 0.0000 0.5000 0.8639


First-principles (PBE-GGA) data for crystalline InNi2Br at its relaxed geometry, as listed in the Alexandria database.

Computed properties:
Magnetic moment ... 0.00 μB per formula unit
N(E_F) ... 0.30 states/eV/f.u.
Distance to the lowest polymorph of the same formula ... 0.361 eV per atom

a = 6.4156 Å, b = 6.4156 Å, c = 6.4156 Å
α = 90.00°, β = 90.00°, γ = 90.00°
Space group Fm-3m (No. 225)
Symmetry-distinct sites (fractional):
In 0.0000 0.0000 0.0000
Ni 0.2500 0.2500 0.2500
Br 0.0000 0.0000 0.5000


First-principles (PBE-GGA) data for crystalline YTlCd2 at its relaxed geometry, as listed in the Alexandria database.

Computed properties:
Magnetic moment ... 0.00 μB per formula unit
N(E_F) ... 2.78 states/eV/f.u.
Distance to the lowest polymorph of the same formula ... 0.221 eV per atom

a = 3.5798 Å, b = 3.5798 Å, c = 29.9801 Å
α = 90.00°, β = 90.00°, γ = 120.00°
Space group R-3m (No. 166, hexagonal axes)
Symmetry-distinct sites (fractional):
Y 0.0000 0.0000 0.0000
Tl 0.0000 0.0000 0.5000
Cd 0.0000 0.0000 0.2494